Computed, not measured: an optimized crystal structure of Tl2ReW at the PBEsol level of DFT.

Lattice parameters (Å, degrees): 3.011 4.833 5.085 90.00 90.74 90.00
Space group P2/m (No. 10)
One atom of each set of equivalent atoms:
Tl (0.237, 0.000, 0.251) [2 per cell]
Re (0.000, 0.500, 0.500) [1 per cell]
W (0.500, 0.500, 0.000) [1 per cell]

Computed, not measured: an optimized crystal structure of Al4HgP at the PBEsol level of DFT.

Lattice parameters (Å, degrees): 7.552 7.552 7.552 90.00 90.00 90.00
Space group F-43m (No. 216)
One atom of each set of equivalent atoms:
Al (0.125, 0.125, 0.125) [16 per cell]
Hg (0.250, 0.250, 0.750) [4 per cell]
P (0.000, 0.000, 0.500) [4 per cell]

no.,formation enthalpy at 0 K (eV per formula unit),DOS(E_F) (states/eV/f.u.)
1,4.6,3.87
2,2.1,2.59